(1)
First-principles (PBE) data for KRbFe2 after structural relaxation, as listed in Alexandria via LeMat-Bulk.

Crystal system: tetragonal
Energy relative to the elements: 1521 meV/atom
Size of the total moment: 1.48 μB per atom
Calculated volume: 31.0 Å³/atom

Unit cell a=9.315 b=9.315 c=7.181 alpha=49.57 beta=49.57 gamma=90.00
Site moments in Bohr magnetons follow the coordinates.
Atoms (fractional coordinates):
Fe 0.127 0.625 0.250  3.06
Fe 0.623 0.125 0.250  3.06
Fe 0.875 0.873 0.750  3.06
Rb 0.750 0.250 0.500  -0.03
Fe 0.375 0.377 0.750  3.07
K 0.500 0.500 0.000  -0.02
Rb 0.000 0.000 0.000  -0.03
K 0.250 0.750 0.500  -0.02

(2)
First-principles (PBE) data for V3AsPd after structural relaxation, as listed in Alexandria via LeMat-Bulk.

Crystal system: cubic
Energy relative to the elements: 697 meV/atom
Energy above the most stable polymorph in this dataset: 0.000 eV per atom
Size of the total moment: 0.54 μB per atom
Calculated volume: 18.0 Å³/atom

Unit cell a=4.478 b=4.478 c=4.478 alpha=90.00 beta=90.00 gamma=90.00
Site moments in Bohr magnetons follow the coordinates.
Atoms (fractional coordinates):
V 0.000 0.500 0.000  0.81
V 0.500 0.000 0.000  0.81
As 0.000 0.000 0.000  -0.04
V 0.000 0.000 0.500  0.81
Pd 0.500 0.500 0.500  0.05

(3)
First-principles (PBE) data for CsNaCrTc2 after structural relaxation, as listed in Alexandria via LeMat-Bulk.

Crystal system: tetragonal
Energy relative to the elements: 3152 meV/atom
Size of the total moment: 0.07 μB per atom
Calculated volume: 23.9 Å³/atom

Unit cell a=4.905 b=4.960 c=4.905 alpha=90.00 beta=90.00 gamma=90.00
Site moments in Bohr magnetons follow the coordinates.
Atoms (fractional coordinates):
Cr 0.500 0.500 0.500  -0.15
Tc 0.500 0.000 0.000  0.20
Na 0.000 0.500 0.000  0.00
Tc 0.000 0.000 0.500  0.20
Cs 0.000 0.000 0.000  0.01